Record 1
Here is ScInAu6 after structural relaxation from OQMD via LeMat-Bulk. Energies are from PBE.

Properties
V, Å³/cell: 148.9
Symmetry: Pmm2, No. 25
Magnetization, Bohr magnetons per cell: 0.00
Energy, eV/atom: -3.949

a b c (Å): 4.933 5.873 5.138
angles (deg): 90.00 90.00 90.00
Fractional positions:
Sc 0.000 0.000 0.000
In 0.500 0.500 0.324
Au 0.000 0.249 0.500
Au 0.000 0.500 0.998
Au 0.000 0.751 0.500
Au 0.500 0.000 0.311
Au 0.500 0.246 0.824
Au 0.500 0.754 0.824

Record 2
Here is InAuSe2 after structural relaxation from OQMD via LeMat-Bulk. Energies are from PBE.

Properties
V, Å³/cell: 477.9
Symmetry: C2, No. 5
Energy, eV/atom: -3.627

a b c (Å): 14.904 5.911 5.898
angles (deg): 90.00 113.11 90.00
Fractional positions:
In 0.250 0.000 0.250
In 0.250 0.500 0.750
In 0.750 0.000 0.750
In 0.750 0.500 0.250
Au 0.108 0.000 0.609
Au 0.392 0.500 0.391
Au 0.608 0.500 0.609
Au 0.892 0.000 0.391
Se 0.130 0.291 0.340
Se 0.130 0.709 0.922
Se 0.370 0.209 0.078
Se 0.370 0.791 0.660
Se 0.630 0.209 0.922
Se 0.630 0.791 0.340
Se 0.870 0.291 0.660
Se 0.870 0.709 0.078

Record 3
Here is InAuSe2 after structural relaxation from OQMD via LeMat-Bulk. Energies are from PBE.

Properties
V, Å³/cell: 256.1
Symmetry: P-1, No. 2
Energy, eV/atom: -3.602

a b c (Å): 6.157 6.173 6.739
angles (deg): 89.83 89.76 89.76
Fractional positions:
In 0.000 0.000 0.250
In 0.000 0.000 0.750
Au 0.000 0.500 0.000
Au 0.500 0.000 0.500
Se 0.204 0.736 0.500
Se 0.263 0.202 0.998
Se 0.737 0.798 0.002
Se 0.796 0.264 0.500

Record 4
Here is InSiAuSe3 after structural relaxation from OQMD via LeMat-Bulk. Energies are from PBE.

Properties
V, Å³/cell: 270.9
Symmetry: Cmcm, No. 63
Energy, eV/atom: -3.831

a b c (Å): 7.140 7.140 10.650
angles (deg): 90.00 90.00 150.06
Fractional positions:
In 0.186 0.814 0.750
In 0.814 0.186 0.250
Si 0.500 0.500 0.000
Si 0.500 0.500 0.500
Au 0.158 0.842 0.250
Au 0.842 0.158 0.750
Se 0.127 0.873 0.018
Se 0.127 0.873 0.482
Se 0.470 0.530 0.250
Se 0.530 0.470 0.750
Se 0.873 0.127 0.518
Se 0.873 0.127 0.982